Record 1
Compound: MgAl2P2H18O18
Source: Alexandria via LeMat-Bulk
Functional: SCAN
Structure: PBEsol geometry

Values from the calculation:
The total energy is -286.52 eV for the cell shown.

Cell lengths 5.212, 6.902, 10.123 Å; angles 96.88, 101.69, 110.34 degrees
Element x y z (fractional)
H 0.677 0.589 0.901
H 0.163 0.675 0.516
H 0.686 0.503 0.274
H 0.307 0.947 0.207
H 0.541 0.003 0.124
H 0.314 0.497 0.726
H 0.909 0.424 0.731
H 0.911 0.341 0.183
H 0.837 0.325 0.484
H 0.823 0.603 0.058
H 0.397 0.302 0.675
H 0.089 0.659 0.817
H 0.693 0.053 0.793
H 0.323 0.411 0.099
H 0.603 0.698 0.325
H 0.459 0.997 0.876
H 0.177 0.397 0.942
H 0.091 0.576 0.269
O 0.903 0.098 0.181
O 0.913 0.489 0.198
O 0.352 0.709 0.496
O 0.097 0.902 0.819
O 0.187 0.958 0.348
O 0.087 0.511 0.802
O 0.243 0.317 0.008
O 0.708 0.950 0.372
O 0.648 0.291 0.504
O 0.813 0.042 0.652
O 0.292 0.050 0.628
O 0.333 0.950 0.112
O 0.878 0.702 0.571
O 0.463 0.462 0.686
O 0.122 0.298 0.429
O 0.537 0.538 0.314
O 0.667 0.050 0.888
O 0.757 0.683 0.992
P 0.016 0.923 0.667
P 0.984 0.077 0.333
Mg 0.000 0.000 0.000
Al 0.500 0.000 0.500
Al 0.500 0.500 0.500

---

Record 2
Compound: SmTlW2O8
Source: Alexandria via LeMat-Bulk
Functional: SCAN
Structure: PBEsol geometry

Values from the calculation:
The calculation puts the uncorrected formation energy at -2.54 eV per atom.

Cell lengths 7.503, 7.547, 7.547 Å; angles 89.26, 62.43, 62.43 degrees
Element x y z (fractional)
W 0.231 0.302 0.307
W 0.731 0.307 0.302
W 0.769 0.698 0.693
W 0.269 0.693 0.698
O 0.525 0.631 0.417
O 0.685 0.792 0.953
O 0.370 0.071 0.388
O 0.975 0.583 0.369
O 0.870 0.388 0.071
O 0.446 0.379 0.241
O 0.315 0.208 0.047
O 0.025 0.417 0.631
O 0.185 0.953 0.792
O 0.475 0.369 0.583
O 0.946 0.241 0.379
O 0.130 0.612 0.929
O 0.054 0.759 0.621
O 0.630 0.929 0.612
O 0.815 0.047 0.208
O 0.554 0.621 0.759
Sm 0.750 0.772 0.228
Sm 0.250 0.228 0.772
Tl 0.250 0.789 0.211
Tl 0.750 0.211 0.789

---

Record 3
Compound: NaRuSO2
Source: Alexandria via LeMat-Bulk
Functional: SCAN
Structure: PBEsol geometry

Values from the calculation:
The calculation puts the uncorrected formation energy at -0.47 eV per atom.

Cell lengths 3.683, 3.683, 6.735 Å; angles 90.00, 90.00, 90.00 degrees
Element x y z (fractional)
Ru 0.000 0.000 0.000
O 0.500 0.000 0.000
O 0.000 0.500 0.000
Na 0.000 0.000 0.500
S 0.500 0.500 0.500

---

| no. | magnetization (μB per formula unit) |
| --- | --- |
| 1 | 0.000 |
| 2 | 0.000 |
| 3 | 1.382 |